First-principles (PBE) data for crystalline CrAs5 at its relaxed geometry, as listed in the Alexandria database.

Results
- calculated volume (Å³ per atom) = 18.63
- energy above the lowest structure with this stoichiometry (meV per atom) = 184
- formation enthalpy at 0 K (eV/atom) = 0.36

Lattice parameters (Å, degrees): 5.175 5.175 4.819 90.00 90.00 120.00
Site moments in Bohr magnetons follow the coordinates.
Sites, in units of the cell vectors:
As1 0.333 0.667 0.500  -0.03
As2 0.286 0.286 0.000  -0.02
As3 0.667 0.333 0.500  -0.03
As4 0.000 0.714 0.000  -0.02
As5 0.714 0.000 0.000  -0.02
Cr1 0.000 0.000 0.500  3.14